Crystalline Zn2CdPb at its relaxed geometry, computed with PBE.

Structure (POSCAR):
```
Zn2CdPb
1.0
2.021 1.167 6.779
-2.021 1.167 6.779
0.000 -2.333 6.779
Zn Cd Pb
2 1 1
direct
0.000 0.000 0.000
0.184 0.184 0.184
0.590 0.590 0.590
0.760 0.760 0.760
```

Results
The energy comes out at -6.31 eV per formula unit. Its energy of formation is 214 meV per atom. The polymorph energy (0 for the lowest one) comes out at 10.17 kJ per mole of atoms. The calculation puts the size of the total moment at 0.00 μB per formula unit.

=====

Crystalline ZrCd2Pb at its relaxed geometry, computed with PBE.

Structure (POSCAR):
```
ZrCd2Pb
1.0
-2.117 2.117 5.238
2.117 -2.117 5.238
2.117 2.117 -5.238
Zr Cd Pb
1 2 1
direct
0.000 0.000 0.000
0.250 0.750 0.500
0.750 0.250 0.500
0.500 0.500 0.000
```

Results
The energy comes out at -14.31 eV per formula unit. Its energy of formation is -55 meV per atom. The calculation puts the size of the total moment at 0.00 μB per formula unit.

=====

Crystalline ZrCd2Pb at its relaxed geometry, computed with PBE.

Structure (POSCAR):
```
ZrCd2Pb
1.0
3.017 -4.995 0.000
3.017 4.995 0.000
-0.457 0.000 3.160
Zr Cd Pb
1 2 1
direct
0.000 0.000 0.000
0.000 0.500 0.500
0.500 0.000 0.500
0.500 0.500 0.000
```

Results
The energy comes out at -14.18 eV per formula unit. Its energy of formation is -24 meV per atom. The calculation puts the size of the total moment at 0.00 μB per formula unit.

=====

Crystalline ZrCd2Pb at its relaxed geometry, computed with PBE.

Structure (POSCAR):
```
ZrCd2Pb
1.0
3.177 0.000 0.000
0.000 3.177 0.000
0.000 0.000 9.747
Zr Cd Pb
1 2 1
direct
0.000 0.000 0.000
0.500 0.500 0.224
0.500 0.500 0.776
0.000 0.000 0.500
```

Results
The energy comes out at -14.16 eV per formula unit. Its energy of formation is -17 meV per atom. The calculation puts the size of the total moment at 0.00 μB per formula unit.

=====

Crystalline ZrCdPb at its relaxed geometry, computed with PBE.

Structure (POSCAR):
```
ZrCdPb
1.0
0.000 2.494 6.857
2.148 0.000 6.857
2.148 2.494 0.000
Zr Cd Pb
1 1 1
direct
0.000 0.000 0.000
0.656 0.656 0.344
0.333 0.333 0.667
```

Results
The energy comes out at -13.15 eV per formula unit. Its energy of formation is 7 meV per atom. The calculation puts the size of the total moment at 0.00 μB per formula unit.

=====

Crystalline ZrCd2Pb at its relaxed geometry, computed with PBE.

Structure (POSCAR):
```
ZrCd2Pb
1.0
3.159 0.000 0.000
0.000 4.819 0.000
-0.174 0.000 6.363
Zr Cd Pb
1 2 1
direct
0.000 0.000 0.000
0.468 0.000 0.461
0.545 0.500 0.231
0.466 0.500 0.764
```

Results
The energy comes out at -13.95 eV per formula unit. Its energy of formation is 35 meV per atom. The calculation puts the size of the total moment at 0.00 μB per formula unit.

=====

Crystalline ZrCd2Pb at its relaxed geometry, computed with PBE.

Structure (POSCAR):
```
ZrCd2Pb
1.0
3.394 0.000 0.000
0.000 4.526 0.000
-0.124 0.000 6.230
Zr Cd Pb
1 2 1
direct
0.000 0.000 0.000
0.500 0.500 0.232
0.500 0.500 0.768
0.000 0.000 0.500
```

Results
The energy comes out at -14.01 eV per formula unit. Its energy of formation is 20 meV per atom. The calculation puts the size of the total moment at 0.00 μB per formula unit.

=====

Crystalline ZrCd3Pb at its relaxed geometry, computed with PBE.

Structure (POSCAR):
```
ZrCd3Pb
1.0
5.423 0.000 0.000
0.000 5.423 0.000
0.000 0.000 5.423
Zr Cd Pb
1 3 1
direct
0.000 0.000 0.000
0.000 0.500 0.500
0.500 0.000 0.500
0.500 0.500 0.000
0.500 0.500 0.500
```

Results
The energy comes out at -9.95 eV per formula unit. Its energy of formation is 1010 meV per atom. The polymorph energy (0 for the lowest one) comes out at 23.71 kJ per mole of atoms. The calculation puts the size of the total moment at 0.03 μB per formula unit.

=====

Crystalline ZrCdPb at its relaxed geometry, computed with PBE.

Structure (POSCAR):
```
ZrCdPb
1.0
16.469 0.000 0.000
0.000 4.209 0.000
0.000 0.000 4.210
Zr Cd Pb
4 4 4
direct
0.163 0.250 0.249
0.337 0.750 0.749
0.663 0.250 0.251
0.837 0.750 0.751
0.000 0.250 0.750
0.000 0.750 0.250
0.500 0.250 0.750
0.500 0.750 0.250
0.154 0.750 0.749
0.346 0.250 0.249
0.654 0.750 0.751
0.846 0.250 0.251
```

Results
The energy comes out at -13.21 eV per formula unit. Its energy of formation is -14 meV per atom. The calculation puts the size of the total moment at 0.00 μB per formula unit.

=====

Crystalline ZrCdPb at its relaxed geometry, computed with PBE.

Structure (POSCAR):
```
ZrCdPb
1.0
-1.615 1.615 7.093
1.615 -1.615 7.093
1.615 1.615 -7.093
Zr Cd Pb
1 1 1
direct
0.000 0.000 0.000
0.651 0.651 0.000
0.333 0.333 0.000
```

Results
The energy comes out at -13.14 eV per formula unit. Its energy of formation is 12 meV per atom. The calculation puts the size of the total moment at 0.00 μB per formula unit.

=====

Crystalline ZrCd2Pb at its relaxed geometry, computed with PBE.

Structure (POSCAR):
```
ZrCd2Pb
1.0
-2.188 2.188 4.884
2.188 -2.188 4.884
2.188 2.188 -4.884
Zr Cd Pb
1 2 1
direct
0.000 0.000 0.000
0.250 0.750 0.500
0.500 0.500 0.000
0.750 0.250 0.500
```

Results
The energy comes out at -14.00 eV per formula unit. Its energy of formation is 23 meV per atom. The calculation puts the size of the total moment at 0.00 μB per formula unit.

=====

Crystalline ZrCd3Pb at its relaxed geometry, computed with PBE.

Structure (POSCAR):
```
ZrCd3Pb
1.0
5.552 0.000 0.000
0.000 5.552 0.000
0.000 0.000 5.552
Zr Cd Pb
1 3 1
direct
0.000 0.000 0.000
0.000 0.000 0.500
0.000 0.500 0.000
0.500 0.000 0.000
0.500 0.500 0.500
```

Results
The energy comes out at -11.18 eV per formula unit. Its energy of formation is 764 meV per atom. The polymorph energy (0 for the lowest one) comes out at 0.00 kJ per mole of atoms. The calculation puts the size of the total moment at 0.46 μB per formula unit.

=====

Crystalline ZrCdPb at its relaxed geometry, computed with PBE.

Structure (POSCAR):
```
ZrCdPb
1.0
-1.608 2.109 5.342
1.608 -2.109 5.342
1.608 2.109 -5.342
Zr Cd Pb
1 1 1
direct
0.000 0.000 0.000
0.654 0.654 0.000
0.325 0.325 0.000
```

Results
The energy comes out at -13.02 eV per formula unit. Its energy of formation is 49 meV per atom. The calculation puts the size of the total moment at 0.00 μB per formula unit.

=====

Crystalline ZrCd2Pb at its relaxed geometry, computed with PBE.

Structure (POSCAR):
```
ZrCd2Pb
1.0
1.644 0.949 10.416
-1.644 0.949 10.416
0.000 -1.899 10.416
Zr Cd Pb
1 2 1
direct
0.000 0.000 0.000
0.493 0.493 0.493
0.746 0.746 0.746
0.249 0.249 0.249
```

Results
The energy comes out at -13.96 eV per formula unit. Its energy of formation is 31 meV per atom. The calculation puts the size of the total moment at 0.00 μB per formula unit.

=====

Crystalline ZrCd2Pb at its relaxed geometry, computed with PBE.

Structure (POSCAR):
```
ZrCd2Pb
1.0
3.380 0.000 0.000
0.000 4.335 0.000
0.000 0.000 6.512
Zr Cd Pb
1 2 1
direct
0.000 0.000 0.000
0.000 0.000 0.478
0.500 0.500 0.255
0.500 0.500 0.770
```

Results
The energy comes out at -14.03 eV per formula unit. Its energy of formation is 13 meV per atom. The calculation puts the size of the total moment at 0.00 μB per formula unit.

=====

Crystalline Zr3CdPb at its relaxed geometry, computed with PBE.

Structure (POSCAR):
```
Zr3CdPb
1.0
5.237 0.000 0.000
0.000 5.237 0.000
0.000 0.000 5.237
Zr Cd Pb
3 1 1
direct
0.000 0.000 0.500
0.000 0.500 0.000
0.500 0.000 0.000
0.000 0.000 0.000
0.500 0.500 0.500
```

Results
The energy comes out at -26.17 eV per formula unit. Its energy of formation is 820 meV per atom. The polymorph energy (0 for the lowest one) comes out at 0.00 kJ per mole of atoms. The calculation puts the size of the total moment at 0.00 μB per formula unit.

=====

Crystalline ZrCd2Pb at its relaxed geometry, computed with PBE.

Structure (POSCAR):
```
ZrCd2Pb
1.0
4.402 0.000 0.000
0.000 4.402 0.000
0.000 0.000 4.724
Zr Cd Pb
1 2 1
direct
0.000 0.000 0.000
0.000 0.500 0.500
0.500 0.000 0.500
0.500 0.500 0.000
```

Results
The energy comes out at -14.45 eV per formula unit. Its energy of formation is -92 meV per atom. The calculation puts the size of the total moment at 0.00 μB per formula unit.

=====

Crystalline ZrCd2Pb at its relaxed geometry, computed with PBE.

Structure (POSCAR):
```
ZrCd2Pb
1.0
1.652 0.954 10.462
-1.652 0.954 10.462
0.000 -1.907 10.462
Zr Cd Pb
1 2 1
direct
0.000 0.000 0.000
0.588 0.588 0.588
0.745 0.745 0.745
0.166 0.166 0.166
```

Results
The energy comes out at -13.96 eV per formula unit. Its energy of formation is 31 meV per atom. The calculation puts the size of the total moment at 0.00 μB per formula unit.

=====

Crystalline Zr12Cd3Pb at its relaxed geometry, computed with PBE.

Structure (POSCAR):
```
Zr12Cd3Pb
1.0
4.479 0.000 0.000
0.000 4.479 0.000
0.000 0.000 17.852
Zr Cd Pb
12 3 1
direct
0.000 0.000 0.000
0.000 0.000 0.248
0.000 0.000 0.500
0.000 0.000 0.752
0.000 0.500 0.125
0.000 0.500 0.374
0.000 0.500 0.626
0.000 0.500 0.875
0.500 0.000 0.125
0.500 0.000 0.374
0.500 0.000 0.626
0.500 0.000 0.875
0.500 0.500 0.000
0.500 0.500 0.249
0.500 0.500 0.751
0.500 0.500 0.500
```

Results
The energy comes out at -110.68 eV per formula unit. Its energy of formation is -103 meV per atom. The calculation puts the size of the total moment at 0.00 μB per formula unit.

=====

Crystalline ZrCd2Pb at its relaxed geometry, computed with PBE.

Structure (POSCAR):
```
ZrCd2Pb
1.0
5.691 -1.583 0.000
5.691 1.583 0.000
-2.556 0.000 5.263
Zr Cd Pb
1 2 1
direct
0.000 0.000 0.000
0.490 0.490 0.498
0.741 0.741 0.434
0.249 0.249 0.940
```

Results
The energy comes out at -14.22 eV per formula unit. Its energy of formation is -32 meV per atom. The calculation puts the size of the total moment at 0.00 μB per formula unit.

=====

Crystalline ZrCd2Pb at its relaxed geometry, computed with PBE.

Structure (POSCAR):
```
ZrCd2Pb
1.0
-1.663 2.561 5.605
1.663 -2.561 5.605
1.663 2.561 -5.605
Zr Cd Pb
1 2 1
direct
0.000 0.000 0.000
0.237 0.737 0.500
0.763 0.263 0.500
0.500 0.500 0.000
```

Results
The energy comes out at -14.24 eV per formula unit. Its energy of formation is -39 meV per atom. The calculation puts the size of the total moment at 0.00 μB per formula unit.

=====

Crystalline ZrCdPb at its relaxed geometry, computed with PBE.

Structure (POSCAR):
```
ZrCdPb
1.0
3.303 0.000 0.000
-1.652 2.861 0.000
0.000 0.000 7.907
Zr Cd Pb
1 1 1
direct
0.000 0.000 0.000
0.667 0.333 0.317
0.333 0.667 0.667
```

Results
The energy comes out at -13.07 eV per formula unit. Its energy of formation is 34 meV per atom. The calculation puts the size of the total moment at 0.00 μB per formula unit.

=====

Crystalline ZrCdPb at its relaxed geometry, computed with PBE.

Structure (POSCAR):
```
ZrCdPb
1.0
0.000 3.483 3.483
3.483 0.000 3.483
3.483 3.483 0.000
Zr Cd Pb
1 1 1
direct
0.000 0.000 0.000
0.250 0.250 0.250
0.750 0.750 0.750
```

Results
The energy comes out at -12.41 eV per formula unit. Its energy of formation is 255 meV per atom. The calculation puts the size of the total moment at 0.00 μB per formula unit.

=====

Crystalline ZrCd2Pb at its relaxed geometry, computed with PBE.

Structure (POSCAR):
```
ZrCd2Pb
1.0
1.637 0.945 10.701
-1.637 0.945 10.701
0.000 -1.891 10.701
Zr Cd Pb
1 2 1
direct
0.000 0.000 0.000
0.256 0.256 0.256
0.744 0.744 0.744
0.500 0.500 0.500
```

Results
The energy comes out at -13.94 eV per formula unit. Its energy of formation is 36 meV per atom. The calculation puts the size of the total moment at 0.00 μB per formula unit.

=====

Crystalline ZrCd2Pb at its relaxed geometry, computed with PBE.

Structure (POSCAR):
```
ZrCd2Pb
1.0
2.277 -2.281 0.000
2.277 2.281 0.000
0.000 0.000 9.335
Zr Cd Pb
1 2 1
direct
0.000 0.000 0.000
0.000 0.000 0.457
0.500 0.500 0.232
0.500 0.500 0.746
```

Results
The energy comes out at -13.95 eV per formula unit. Its energy of formation is 35 meV per atom. The calculation puts the size of the total moment at 0.00 μB per formula unit.

=====

Crystalline ZrCd2Pb2 at its relaxed geometry, computed with PBE.

Structure (POSCAR):
```
ZrCd2Pb2
1.0
-1.978 1.978 8.836
1.978 -1.978 8.836
1.978 1.978 -8.836
Zr Cd Pb
1 2 2
direct
0.000 0.000 0.000
0.250 0.750 0.500
0.750 0.250 0.500
0.411 0.411 0.000
0.589 0.589 0.000
```

Results
The energy comes out at -16.74 eV per formula unit. Its energy of formation is 210 meV per atom. The polymorph energy (0 for the lowest one) comes out at 0.63 kJ per mole of atoms. The calculation puts the size of the total moment at 0.00 μB per formula unit.

=====

Crystalline ZrCdPb3 at its relaxed geometry, computed with PBE.

Structure (POSCAR):
```
ZrCdPb3
1.0
5.702 0.000 0.000
0.000 5.702 0.000
0.000 0.000 5.702
Zr Cd Pb
1 1 3
direct
0.000 0.000 0.000
0.500 0.500 0.500
0.000 0.000 0.500
0.000 0.500 0.000
0.500 0.000 0.000
```

Results
The energy comes out at -18.81 eV per formula unit. Its energy of formation is 356 meV per atom. The polymorph energy (0 for the lowest one) comes out at 0.00 kJ per mole of atoms. The calculation puts the size of the total moment at 0.00 μB per formula unit.

=====

Crystalline ZrCdPb at its relaxed geometry, computed with PBE.

Structure (POSCAR):
```
ZrCdPb
1.0
0.000 3.444 3.444
3.444 0.000 3.444
3.444 3.444 0.000
Zr Cd Pb
1 1 1
direct
0.000 0.000 0.000
0.500 0.500 0.500
0.250 0.250 0.250
```

Results
The energy comes out at -11.93 eV per formula unit. Its energy of formation is 413 meV per atom. The calculation puts the size of the total moment at 0.00 μB per formula unit.

=====

Crystalline ZrCdPb3 at its relaxed geometry, computed with PBE.

Structure (POSCAR):
```
ZrCdPb3
1.0
5.526 0.000 0.000
0.000 5.526 0.000
0.000 0.000 5.526
Zr Cd Pb
1 1 3
direct
0.000 0.000 0.000
0.500 0.500 0.500
0.000 0.500 0.500
0.500 0.000 0.500
0.500 0.500 0.000
```

Results
The energy comes out at -16.25 eV per formula unit. Its energy of formation is 868 meV per atom. The polymorph energy (0 for the lowest one) comes out at 49.43 kJ per mole of atoms. The calculation puts the size of the total moment at 0.00 μB per formula unit.